Er3Zr3TaN8: relaxed, PBE.

Calculated values
The calculation puts the density of states at the Fermi level at 0.08 states/eV per atom. The size of the total moment comes out at 0.00 μB per formula unit. The value obtained for the uncorrected formation energy is -1598.8 meV per atom.

Structure (CIF):
```
data_Er3Zr3TaN8
_cell_length_a 6.5311
_cell_length_b 6.5311
_cell_length_c 16.4479
_cell_angle_alpha 90.00
_cell_angle_beta 90.00
_cell_angle_gamma 120.00
_space_group_name_H-M_alt 'R -3 m'
_space_group_IT_number 166
_space_group_name_Hall '-R 3 2"'
loop_
_atom_site_label
_atom_site_type_symbol
_atom_site_fract_x
_atom_site_fract_y
_atom_site_fract_z
_atom_site_occupancy
Er1 Er 0.0000 0.5000 0.0000 1
Zr1 Zr 0.0000 0.5000 0.5000 1
Ta1 Ta 0.0000 0.0000 0.5000 1
N1 N 0.0000 0.0000 0.2461 1
N2 N 0.0203 0.5102 0.2397 1
```

NdGaCuPd3: relaxed, PBE.

Calculated values
The calculation puts the energy relative to the elements at -0.473 eV/atom. The calculation puts the density of states at the Fermi level at 0.38 states/eV per atom. The size of the total moment comes out at 0.00 μB per formula unit.

Structure (CIF):
```
data_NdGaCuPd3
_cell_length_a 5.698
_cell_length_b 13.109
_cell_length_c 5.847
_cell_angle_alpha 90.00
_cell_angle_beta 90.00
_cell_angle_gamma 90.00
_space_group_name_H-M_alt 'C m c m'
_space_group_IT_number 63
_space_group_name_Hall '-C 2c 2'
loop_
_atom_site_label
_atom_site_type_symbol
_atom_site_fract_x
_atom_site_fract_y
_atom_site_fract_z
_atom_site_occupancy
Nd1 Nd 0.000 0.182 0.250 1
Ga1 Ga 0.000 0.125 0.750 1
Cu1 Cu 0.000 0.386 0.250 1
Pd1 Pd 0.000 0.326 0.750 1
Pd2 Pd 0.249 0.000 0.000 1
```

MgBiSb2: relaxed, PBE.

Calculated values
The calculation puts the density of states at the Fermi level at 0.86 states/eV per atom. The size of the total moment comes out at 0.00 μB per formula unit. The value obtained for the uncorrected formation energy is 79.5 meV per atom.

Structure (CIF):
```
data_MgBiSb2
_cell_length_a 7.623
_cell_length_b 7.623
_cell_length_c 7.623
_cell_angle_alpha 90.00
_cell_angle_beta 90.00
_cell_angle_gamma 90.00
_space_group_name_H-M_alt 'F m -3 m'
_space_group_IT_number 225
_space_group_name_Hall '-F 4 2 3'
loop_
_atom_site_label
_atom_site_type_symbol
_atom_site_fract_x
_atom_site_fract_y
_atom_site_fract_z
_atom_site_occupancy
Mg1 Mg 0.000 0.000 0.000 1
Bi1 Bi 0.000 0.000 0.500 1
Sb1 Sb 0.250 0.250 0.250 1
```

V2H: relaxed, PBE.

Calculated values
The calculation puts the density of states at the Fermi level at 0.73 states/eV per atom. The size of the total moment comes out at 0.00 μB per formula unit. For the raw total energy, the calculation gives -0.2702 Ha/atom.

Structure (CIF):
```
data_V2H
_cell_length_a 5.885
_cell_length_b 5.885
_cell_length_c 6.671
_cell_angle_alpha 90.00
_cell_angle_beta 90.00
_cell_angle_gamma 90.00
_space_group_name_H-M_alt 'I 41/a m d'
_space_group_IT_number 141
loop_
_space_group_symop_operation_xyz
'x,y,z'
'-x,-y,-z'
'-y+1/4,x+3/4,z+1/4'
'y+1/4,-x+3/4,-z+1/4'
'-x+1/2,-y,z+1/2'
'x+1/2,y,-z+1/2'
'y+1/4,-x+1/4,z+3/4'
'-y+1/4,x+1/4,-z+3/4'
'x,-y,-z'
'-x,y,z'
'-y+1/4,-x+1/4,-z+3/4'
'y+1/4,x+1/4,z+3/4'
'-x+1/2,y,-z+1/2'
'x+1/2,-y,z+1/2'
'y+1/4,x+3/4,-z+1/4'
'-y+1/4,-x+3/4,z+1/4'
'x+1/2,y+1/2,z+1/2'
'-x+1/2,-y+1/2,-z+1/2'
'-y+3/4,x+1/4,z+3/4'
'y+3/4,-x+1/4,-z+3/4'
'-x,-y+1/2,z'
'x,y+1/2,-z'
'y+3/4,-x+3/4,z+1/4'
'-y+3/4,x+3/4,-z+1/4'
'x+1/2,-y+1/2,-z+1/2'
'-x+1/2,y+1/2,z+1/2'
'-y+3/4,-x+3/4,-z+1/4'
'y+3/4,x+3/4,z+1/4'
'-x,y+1/2,-z'
'x,-y+1/2,z'
'y+3/4,x+1/4,-z+3/4'
'-y+3/4,-x+1/4,z+3/4'
loop_
_atom_site_label
_atom_site_type_symbol
_atom_site_fract_x
_atom_site_fract_y
_atom_site_fract_z
_atom_site_occupancy
V1 V 0.000 0.002 0.231 1
H1 H 0.000 0.000 0.500 1
```

PaAl4Pd2: relaxed, PBE.

Calculated values
The calculation puts the energy relative to the elements at -0.633 eV/atom. The calculation puts the density of states at the Fermi level at 0.57 states/eV per atom. The size of the total moment comes out at 0.00 μB per formula unit.

Structure (CIF):
```
data_PaAl4Pd2
_cell_length_a 17.112
_cell_length_b 4.339
_cell_length_c 6.634
_cell_angle_alpha 90.00
_cell_angle_beta 90.00
_cell_angle_gamma 90.00
_space_group_name_H-M_alt 'P n m a'
_space_group_IT_number 62
loop_
_space_group_symop_operation_xyz
'x,y,z'
'-x,-y,-z'
'-x+1/2,-y,z+1/2'
'x+1/2,y,-z+1/2'
'x+1/2,-y+1/2,-z+1/2'
'-x+1/2,y+1/2,z+1/2'
'-x,y+1/2,-z'
'x,-y+1/2,z'
loop_
_atom_site_label
_atom_site_type_symbol
_atom_site_fract_x
_atom_site_fract_y
_atom_site_fract_z
_atom_site_occupancy
Pa1 Pa 0.135 0.250 0.012 1
Al1 Al 0.037 0.750 0.821 1
Al2 Al 0.072 0.250 0.494 1
Al3 Al 0.185 0.750 0.326 1
Al4 Al 0.193 0.750 0.726 1
Pd1 Pd 0.038 0.750 0.239 1
Pd2 Pd 0.219 0.250 0.530 1
```

HfBi2Br: relaxed, PBE.

Calculated values
The calculation puts the density of states at the Fermi level at 0.82 states/eV per atom. The size of the total moment comes out at 0.00 μB per formula unit. The value obtained for the uncorrected formation energy is 269.3 meV per atom.

Structure (CIF):
```
data_HfBi2Br
_cell_length_a 4.532
_cell_length_b 4.532
_cell_length_c 22.815
_cell_angle_alpha 90.00
_cell_angle_beta 90.00
_cell_angle_gamma 90.00
_space_group_name_H-M_alt 'I -4 2 d'
_space_group_IT_number 122
_space_group_name_Hall 'I -4 2bw'
loop_
_atom_site_label
_atom_site_type_symbol
_atom_site_fract_x
_atom_site_fract_y
_atom_site_fract_z
_atom_site_occupancy
Hf1 Hf 0.000 0.000 0.000 1
Bi1 Bi 0.222 0.250 0.125 1
Br1 Br 0.000 0.000 0.500 1
```

CdAg2Au4: relaxed, PBE.

Calculated values
The calculation puts the energy relative to the elements at 0.026 eV/atom. The calculation puts the density of states at the Fermi level at 0.24 states/eV per atom. The size of the total moment comes out at 0.00 μB per formula unit.

Structure (CIF):
```
data_CdAg2Au4
_cell_length_a 6.135
_cell_length_b 9.309
_cell_length_c 5.575
_cell_angle_alpha 90.00
_cell_angle_beta 116.89
_cell_angle_gamma 90.00
_space_group_name_H-M_alt 'P 1 21/c 1'
_space_group_IT_number 14
loop_
_space_group_symop_operation_xyz
'x,y,z'
'-x,-y,-z'
'-x,y+1/2,-z+1/2'
'x,-y+1/2,z+1/2'
loop_
_atom_site_label
_atom_site_type_symbol
_atom_site_fract_x
_atom_site_fract_y
_atom_site_fract_z
_atom_site_occupancy
Cd1 Cd 0.000 0.000 0.000 1
Ag1 Ag 0.281 0.000 0.639 1
Au1 Au 0.001 0.249 0.748 1
Au2 Au 0.499 0.749 0.500 1
```

CaYTa2Ag: relaxed, PBE.

Calculated values
The calculation puts the energy relative to the elements at 1.937 eV/atom. The calculation puts the density of states at the Fermi level at 1.24 states/eV per atom. The size of the total moment comes out at 0.96 μB per formula unit.

Structure (CIF):
```
data_CaYTa2Ag
_cell_length_a 5.017
_cell_length_b 5.017
_cell_length_c 5.704
_cell_angle_alpha 90.00
_cell_angle_beta 90.00
_cell_angle_gamma 90.00
_space_group_name_H-M_alt 'P 4/m m m'
_space_group_IT_number 123
_space_group_name_Hall '-P 4 2'
loop_
_atom_site_label
_atom_site_type_symbol
_atom_site_fract_x
_atom_site_fract_y
_atom_site_fract_z
_atom_site_occupancy
Ca1 Ca 0.000 0.000 0.000 1
Y1 Y 0.000 0.000 0.500 1
Ta1 Ta 0.000 0.500 0.500 1
Ag1 Ag 0.500 0.500 0.000 1
```

Al2GeSb: relaxed, PBE.

Calculated values
The calculation puts the density of states at the Fermi level at 0.62 states/eV per atom. The size of the total moment comes out at 0.00 μB per formula unit. The value obtained for the uncorrected formation energy is 82.6 meV per atom.

Structure (CIF):
```
data_Al2GeSb
_cell_length_a 6.078
_cell_length_b 6.078
_cell_length_c 11.818
_cell_angle_alpha 90.00
_cell_angle_beta 90.00
_cell_angle_gamma 90.00
_space_group_name_H-M_alt 'I -4 2 d'
_space_group_IT_number 122
_space_group_name_Hall 'I -4 2bw'
loop_
_atom_site_label
_atom_site_type_symbol
_atom_site_fract_x
_atom_site_fract_y
_atom_site_fract_z
_atom_site_occupancy
Al1 Al 0.222 0.250 0.125 1
Ge1 Ge 0.000 0.000 0.000 1
Sb1 Sb 0.000 0.000 0.500 1
```

MnAgW2: relaxed, PBE.

Calculated values
The calculation puts the energy relative to the elements at 0.510 eV/atom. The calculation puts the density of states at the Fermi level at 0.65 states/eV per atom. The size of the total moment comes out at 0.80 μB per formula unit.

Structure (CIF):
```
data_MnAgW2
_cell_length_a 2.775
_cell_length_b 3.888
_cell_length_c 5.660
_cell_angle_alpha 90.00
_cell_angle_beta 90.00
_cell_angle_gamma 90.00
_space_group_name_H-M_alt 'P m m m'
_space_group_IT_number 47
loop_
_space_group_symop_operation_xyz
'x,y,z'
'-x,-y,-z'
'-x,-y,z'
'x,y,-z'
'x,-y,-z'
'-x,y,z'
'-x,y,-z'
'x,-y,z'
loop_
_atom_site_label
_atom_site_type_symbol
_atom_site_fract_x
_atom_site_fract_y
_atom_site_fract_z
_atom_site_occupancy
Mn1 Mn 0.000 0.000 0.000 1
Ag1 Ag 0.000 0.000 0.500 1
W1 W 0.500 0.500 0.221 1
```

PmSc3Cu8: relaxed, PBE.

Calculated values
The calculation puts the energy relative to the elements at -0.206 eV/atom. The calculation puts the density of states at the Fermi level at 0.63 states/eV per atom. The size of the total moment comes out at 0.00 μB per formula unit.

Structure (CIF):
```
data_PmSc3Cu8
_cell_length_a 5.1386
_cell_length_b 5.1386
_cell_length_c 8.3365
_cell_angle_alpha 90.00
_cell_angle_beta 90.00
_cell_angle_gamma 120.00
_space_group_name_H-M_alt 'P 3 m 1'
_space_group_IT_number 156
loop_
_space_group_symop_operation_xyz
'x,y,z'
'-y,x-y,z'
'-x+y,-x,z'
'-y,-x,z'
'-x+y,y,z'
'x,x-y,z'
loop_
_atom_site_label
_atom_site_type_symbol
_atom_site_fract_x
_atom_site_fract_y
_atom_site_fract_z
_atom_site_occupancy
Pm1 Pm 0.0000 0.0000 0.0000 1
Sc1 Sc 0.0000 0.0000 0.3957 1
Sc2 Sc 0.6667 0.3333 0.4830 1
Sc3 Sc 0.6667 0.3333 0.8586 1
Cu1 Cu 0.1673 0.3347 0.6791 1
Cu2 Cu 0.3333 0.6667 0.4312 1
Cu3 Cu 0.3333 0.6667 0.9332 1
Cu4 Cu 0.5017 0.0035 0.1906 1
```

RbTlGa3: relaxed, PBE.

Calculated values
The calculation puts the energy relative to the elements at 1.022 eV/atom. The calculation puts the density of states at the Fermi level at 1.67 states/eV per atom. The size of the total moment comes out at 0.00 μB per formula unit.

Structure (CIF):
```
data_RbTlGa3
_cell_length_a 6.025
_cell_length_b 6.025
_cell_length_c 6.025
_cell_angle_alpha 90.00
_cell_angle_beta 90.00
_cell_angle_gamma 90.00
_space_group_name_H-M_alt 'P m -3 m'
_space_group_IT_number 221
_space_group_name_Hall '-P 4 2 3'
loop_
_atom_site_label
_atom_site_type_symbol
_atom_site_fract_x
_atom_site_fract_y
_atom_site_fract_z
_atom_site_occupancy
Rb1 Rb 0.000 0.000 0.000 1
Tl1 Tl 0.500 0.500 0.500 1
Ga1 Ga 0.000 0.000 0.500 1
```

Question: What is the formula in the second record?
Answer: NdGaCuPd3

Repeat the twelfth record exactly.
RbTlGa3: relaxed, PBE.

Calculated values
The calculation puts the energy relative to the elements at 1.022 eV/atom. The calculation puts the density of states at the Fermi level at 1.67 states/eV per atom. The size of the total moment comes out at 0.00 μB per formula unit.

Structure (CIF):
```
data_RbTlGa3
_cell_length_a 6.025
_cell_length_b 6.025
_cell_length_c 6.025
_cell_angle_alpha 90.00
_cell_angle_beta 90.00
_cell_angle_gamma 90.00
_space_group_name_H-M_alt 'P m -3 m'
_space_group_IT_number 221
_space_group_name_Hall '-P 4 2 3'
loop_
_atom_site_label
_atom_site_type_symbol
_atom_site_fract_x
_atom_site_fract_y
_atom_site_fract_z
_atom_site_occupancy
Rb1 Rb 0.000 0.000 0.000 1
Tl1 Tl 0.500 0.500 0.500 1
Ga1 Ga 0.000 0.000 0.500 1
```

Question: size of the total moment of number 3 (MgBiSb2)?
Answer: 0.00 μB per formula unit